Material: LiNpN2
Method: DFT, PBE
State: relaxed

Unit cell a=3.5039 b=5.6603 c=5.8368 alpha=90.00 beta=107.47 gamma=90.00
With the nearest neighbours (Å) after each atom.
Element x y z (fractional)
Li 0.9700 0.7500 0.9399  2 N 2.03
Li 0.0300 0.2500 0.0601  2 N 2.03
Np 0.7012 0.7500 0.4024  6 N 2.18-2.27
Np 0.2988 0.2500 0.5976  6 N 2.18-2.27
N 0.8454 0.0116 0.6907  1 Li 2.03, 3 Np 2.18-2.27
N 0.8454 0.4884 0.6907  1 Li 2.03, 3 Np 2.18-2.27
N 0.1546 0.9884 0.3093  1 Li 2.03, 3 Np 2.18-2.27
N 0.1546 0.5116 0.3093  1 Li 2.03, 3 Np 2.18-2.27

Values from the calculation:
Size of the total moment in Bohr magnetons per cell: 4.0
Symmetry: Cmcm, No. 63
Energy above the most stable polymorph in this dataset in eV/atom: 0.189
Uncorrected formation energy in eV/atom: -0.8328
Total energy in eV per atom: -8.7092


Material: LaInSe
Method: DFT, PBE
State: relaxed

Unit cell a=4.0107 b=4.0107 c=6.6376 alpha=90.00 beta=90.00 gamma=120.00
With the nearest neighbours (Å) after each atom.
Element x y z (fractional)
In 0.0000 0.0000 0.9776  3 Se 3.16, 3 La 3.48
La 0.3333 0.6667 0.3686  3 Se 2.99
Se 0.6667 0.3333 0.6538  3 La 2.99, 3 In 3.16

Values from the calculation:
Size of the total moment in Bohr magnetons per cell: 0.7
Symmetry: P3m1, No. 156
Energy above the most stable polymorph in this dataset in eV/atom: 0.428
Uncorrected formation energy in eV/atom: -0.7468
Total energy in eV per atom: -4.4636


Material: Ni2RuCl
Method: DFT, PBE
State: relaxed

Unit cell a=4.1923 b=4.1923 c=4.1923 alpha=60.00 beta=60.00 gamma=60.00
With the nearest neighbours (Å) after each atom.
Element x y z (fractional)
Cl 0.5000 0.5000 0.5000  4 Ni 2.57, 4 Ru 2.57
Ni 0.0000 0.0000 0.0000  4 Ru 2.57, 4 Ni 2.57
Ni 0.2500 0.2500 0.2500  4 Ni 2.57, 4 Cl 2.57
Ru 0.7500 0.7500 0.7500  4 Cl 2.57, 4 Ni 2.57

Values from the calculation:
Size of the total moment in Bohr magnetons per cell: 1.4
Symmetry: F-43m, No. 216
Energy above the most stable polymorph in this dataset in eV/atom: 0.493
Uncorrected formation energy in eV/atom: 0.7614
Total energy in eV per atom: -4.9099


Material: Sn2SbPt2
Method: DFT, PBE
State: relaxed

Unit cell a=4.3140 b=4.3140 c=6.7404 alpha=71.34 beta=71.34 gamma=90.00
With the nearest neighbours (Å) after each atom.
Element x y z (fractional)
Sb 0.0000 0.0000 0.0000  8 Pt 3.33, 8 Sn 3.70
Sn 0.7500 0.2500 0.5000  4 Pt 2.72
Sn 0.2500 0.7500 0.5000  4 Pt 2.72
Pt 0.3880 0.3880 0.2241  1 Pt 2.69, 4 Sn 2.72
Pt 0.6120 0.6120 0.7759  1 Pt 2.69, 4 Sn 2.72

Values from the calculation:
Size of the total moment in Bohr magnetons per cell: 0.0
Symmetry: I4/mmm, No. 139
Energy above the most stable polymorph in this dataset in eV/atom: 0.114
Uncorrected formation energy in eV/atom: -0.1272
Total energy in eV per atom: -4.9691